This record from Alexandria via LeMat-Bulk describes a geometry-optimized PrPdRh structure. The functional is GGA-PBE.

Summary:
Energy relative to the elements in meV per atom: -383
M_tot in μB/cell: 0.000
Uncorrected energy in eV/cell: -18.5
Crystal system: tetragonal
DOS at the Fermi energy in states/eV/cell: 2.7
Density in g cm⁻³: 9.6
Symmetry: I4mm (107)

```
PrPdRh
1.0
3.6285 0.0000 0.0000
0.0000 3.6285 0.0000
-1.8142 -1.8142 4.5972
Rh Pd Pr
1 1 1
direct
0.6211 0.6211 0.2422
0.2756 0.2756 0.5512
0.9532 0.9532 0.9065
```